## CaSm2CoO5 (GGA+U)

Data for a relaxed CaSm2CoO5 crystal.

Properties
- density (kg/m³) = 6578
- calculated total energy (eV/cell) = -129.2
- calculated volume (Å³/cell) = 242

a = 6.5886 Å, b = 6.5886 Å, c = 5.5795 Å
α = 90.00°, β = 90.00°, γ = 90.00°
Last column: nearest neighbours and their distance in Å.
Space group P4/mbm (No. 127)
Asymmetric unit:
Ca: 0.0000 0.0000 0.0000  10 O 2.79-2.87
Sm: 0.1724 0.3276 0.5000  8 O 2.28-2.54
Co: 0.0000 0.5000 0.0000  4 O 1.86
O: 0.0000 0.0000 0.5000  4 Sm 2.44
O: 0.1400 0.6400 0.2367  1 Co 1.86